# 1
A geometry-optimized NaPb4Se5 structure. Source: Alexandria, functional PBE.

Lattice parameters (Å, degrees): 4.332 6.070 21.831 90.00 90.00 90.00
Space group Immm (No. 71)
Unique sites:
Na 0.000 0.000 0.000
Pb 0.000 0.000 0.196
Pb 0.000 0.000 0.403
Se 0.000 0.500 0.000
Se 0.000 0.500 0.198
Se 0.000 0.500 0.399

Values from the calculation:
Magnetization   0.00 μB per cell
Raw total energy   -79.2 eV per cell

=====

# 2
A geometry-optimized NaPbSe structure. Source: Alexandria, functional PBE.

Lattice parameters (Å, degrees): 4.6025 4.6025 29.3204 90.00 90.00 120.00
Space group R-3m (No. 166, hexagonal axes)
Unique sites:
Na 0.0000 0.0000 0.1316
Pb 0.0000 0.0000 0.3746
Se 0.0000 0.0000 0.2362

Values from the calculation:
Relative energy among the computed polymorphs   0.0 kJ per mole of atoms
Magnetization   0.00 μB per cell
Raw total energy   -60.2 eV per cell

=====

# 3
A geometry-optimized NaPbSe2 structure. Source: Alexandria, functional PBE.

Lattice parameters (Å, degrees): 4.1543 4.1543 22.1921 90.00 90.00 120.00
Space group R3m (No. 160, hexagonal axes)
Unique sites:
Na 0.0000 0.0000 0.0000
Pb 0.0000 0.0000 0.1686
Se 0.0000 0.0000 0.5816
Se 0.0000 0.0000 0.7552

Values from the calculation:
Magnetization   0.00 μB per cell
Raw total energy   -43.2 eV per cell

=====

# 4
A geometry-optimized NaPbSe structure. Source: Alexandria, functional PBE.

Lattice parameters (Å, degrees): 5.0520 5.0520 4.0337 90.00 90.00 120.00
Space group P3m1 (No. 156)
Unique sites:
Na 0.0000 0.0000 0.0000
Pb 0.3333 0.6667 0.4966
Se 0.6667 0.3333 0.5455

Values from the calculation:
Relative energy among the computed polymorphs   12.2 kJ per mole of atoms
Magnetization   0.00 μB per cell
Raw total energy   -9.7 eV per cell